Pu4Bi3N2 | Alexandria via LeMat-Bulk | PBE-GGA | optimized geometry; SG = C2/m, No. 12; energy relative to the elements, uncorrected = -65 kJ/mol of atoms; E_tot = -10.19 eV/atom
1.0
7.189 -1.883 0.000
7.189 1.883 0.000
-4.191 0.000 8.228
Pu Bi N
4 3 2
Cartesian
0.149 0.000 3.479 Pu
0.620 0.000 7.157 Pu
9.566 0.000 1.071 Pu
10.037 0.000 4.749 Pu
0.000 0.000 0.000 Bi
4.722 0.000 2.396 Bi
5.465 0.000 5.832 Bi
1.632 0.000 5.205 N
8.555 0.000 3.023 N